The following is a PBE+U calculation of MnZn2OsO after structural relaxation, from Alexandria via LeMat-Bulk.

```
data_MnZn2OsO
_chemical_formula_sum 'Mn1 Zn2 Os1 O1'
_space_group_name_H-M_alt 'P 4/m m m'
_space_group_IT_number 123
_space_group_name_Hall '-P 4 2'
_cell_length_a 4.232
_cell_length_b 4.232
_cell_length_c 3.847
_cell_angle_alpha 90.00
_cell_angle_beta 90.00
_cell_angle_gamma 90.00
loop_
_atom_site_label
_atom_site_type_symbol
_atom_site_fract_x
_atom_site_fract_y
_atom_site_fract_z
_atom_site_occupancy
Mn1 Mn 0.000 0.000 0.000 1
Zn1 Zn 0.000 0.500 0.500 1
Os1 Os 0.500 0.500 0.000 1
O1 O 0.000 0.000 0.500 1
```

size of the total moment: 4.18 μB/f.u.
total energy: -25.84 eV for the cell shown